Entry 1:
This record from Alexandria via LeMat-Bulk describes a relaxed structure of YHg2Pd7. The functional is PBE.

The structure in CIF format:
```
data_YHg2Pd7
_chemical_formula_sum 'Y2 Hg4 Pd14'
_symmetry_space_group_name_H-M 'C m m m'
_symmetry_Int_Tables_number 65
_symmetry_space_group_name_Hall '-C 2 2'
_cell_length_a 7.289
_cell_length_b 14.082
_cell_length_c 4.398
_cell_angle_alpha 90.00
_cell_angle_beta 90.00
_cell_angle_gamma 90.00
loop_
_atom_site_label
_atom_site_type_symbol
_atom_site_fract_x
_atom_site_fract_y
_atom_site_fract_z
Y1 Y 0.000 0.000 0.000
Hg1 Hg 0.000 0.299 0.500
Pd1 Pd 0.000 0.189 0.000
Pd2 Pd 0.000 0.500 0.500
Pd3 Pd 0.183 0.102 0.500
```

Properties
- formation energy from the elements (eV per formula unit) = 0.06
- M_tot (μB/f.u.) = 0.0

Entry 2:
This record from Alexandria via LeMat-Bulk describes a relaxed structure of Y2Hg3Pd4. The functional is PBE.

The structure in CIF format:
```
data_Y2Hg3Pd4
_chemical_formula_sum 'Y4 Hg6 Pd8'
_symmetry_space_group_name_H-M 'C 1 2/m 1'
_symmetry_Int_Tables_number 12
_symmetry_space_group_name_Hall '-C 2y'
_cell_length_a 9.075
_cell_length_b 4.430
_cell_length_c 9.030
_cell_angle_alpha 90.00
_cell_angle_beta 102.02
_cell_angle_gamma 90.00
loop_
_atom_site_label
_atom_site_type_symbol
_atom_site_fract_x
_atom_site_fract_y
_atom_site_fract_z
Y1 Y 0.171 0.000 0.219
Hg1 Hg 0.000 0.500 0.000
Hg2 Hg 0.160 0.000 0.569
Pd1 Pd 0.009 0.500 0.333
Pd2 Pd 0.165 0.000 0.894
```

Properties
- formation energy from the elements (eV per formula unit) = -5.29
- M_tot (μB/f.u.) = 0.0

Entry 3:
This record from Alexandria via LeMat-Bulk describes a relaxed structure of YHgPd2. The functional is PBE.

The structure in CIF format:
```
data_YHgPd2
_chemical_formula_sum 'Y1 Hg1 Pd2'
_symmetry_space_group_name_H-M 'P 4/m m m'
_symmetry_Int_Tables_number 123
_symmetry_space_group_name_Hall '-P 4 2'
_cell_length_a 4.476
_cell_length_b 4.476
_cell_length_c 3.916
_cell_angle_alpha 90.00
_cell_angle_beta 90.00
_cell_angle_gamma 90.00
loop_
_atom_site_label
_atom_site_type_symbol
_atom_site_fract_x
_atom_site_fract_y
_atom_site_fract_z
Y1 Y 0.000 0.000 0.000
Hg1 Hg 0.500 0.500 0.000
Pd1 Pd 0.000 0.500 0.500
```

Properties
- formation energy from the elements (eV per formula unit) = -2.43
- M_tot (μB/f.u.) = 0.0

What is the M_tot in the first record? 0.0 μB/f.u.

What is the formation energy from the elements in the second record? -5.29 eV per formula unit